# 1
An optimized crystal structure of YMgScAg, computed with PBE-GGA.

```
YMgScAg
1.0
-4.224 2.213 1.844
-1.483 -0.929 4.804
0.374 3.665 3.545
Sc Ag Y Mg
1 1 1 1
Cartesian
-2.666 2.475 5.096
-4.000 3.712 7.645
0.000 0.000 0.000
-1.333 1.237 2.548
```

Computed properties:
Mass density = 4675 kg/m³
Total magnetization = 0.00 μB/cell
VASP energy = -0.16322 hartree per atom
Energy relative to the lowest polymorph listed for this composition = 0.0422 eV per atom
N(E_F) = 5.137 states/eV/f.u.
Symmetry = F-43m

# 2
An optimized crystal structure of MgSc4ZnAg2, computed with PBE-GGA.

```
MgSc4ZnAg2
1.0
4.879 0.000 0.000
2.440 4.225 0.000
2.440 1.408 7.964
Zn Sc Ag Mg
1 4 2 1
Cartesian
4.879 2.817 3.982
4.879 2.817 6.815
7.319 4.225 3.124
4.879 2.817 1.149
2.440 1.408 4.840
7.319 4.225 6.127
2.440 1.408 1.837
0.000 0.000 0.000
```

Computed properties:
Mass density = 4908 kg/m³
Total magnetization = 0.00 μB/cell
VASP energy = -0.16406 hartree per atom
N(E_F) = 7.616 states/eV/f.u.
Symmetry = R-3m